1.
The following is a PBE calculation of a relaxed ScHgBiF2 crystal, from the Alexandria database.

Values from the calculation:
For the mass density, the calculation gives 7.43 g/cm3. The total magnetization is 0.0 μB per cell. Its raw formation energy is -2.064 eV/atom. The value obtained for the density of states at the Fermi level is 2.43 states/eV/f.u.

Cell lengths 4.1925, 4.1925, 6.2589 Å; angles 90.00, 90.00, 90.00 degrees
With the nearest neighbours (Å) after each atom.
Space group P4/mmm (No. 123)
Symmetry-distinct sites (fractional):
Sc: 0.0000 0.0000 0.0000 (multiplicity 1)  4 F 2.10
Hg: 0.5000 0.5000 0.5000 (multiplicity 1)  4 Bi 2.96
Bi: 0.0000 0.0000 0.5000 (multiplicity 1)  4 Hg 2.96, 2 Sc 3.13
F: 0.0000 0.5000 0.0000 (multiplicity 2)  2 Sc 2.10



2.
The following is a PBE calculation of a relaxed Tm4Mg3Hg crystal, from the Alexandria database.

Values from the calculation:
For the mass density, the calculation gives 7.60 g/cm3. The total magnetization is 0.0 μB per cell. The value obtained for the density of states at the Fermi level is 8.12 states/eV/f.u. The formation energy is -0.17 eV/atom.

Cell lengths 3.7459, 3.7459, 14.7830 Å; angles 90.00, 90.00, 90.00 degrees
With the nearest neighbours (Å) after each atom.
Space group P4/mmm (No. 123)
Symmetry-distinct sites (fractional):
Tm: 0.0000 0.0000 0.1202 (multiplicity 2)  4 Hg 3.19, 4 Mg 3.26, 1 Tm 3.55
Tm: 0.0000 0.0000 0.3727 (multiplicity 2)  8 Mg 3.22-3.25
Mg: 0.5000 0.5000 0.2489 (multiplicity 2)  8 Tm 3.22-3.26
Mg: 0.5000 0.5000 0.5000 (multiplicity 1)  8 Tm 3.25
Hg: 0.5000 0.5000 0.0000 (multiplicity 1)  8 Tm 3.19



3.
The following is a PBE calculation of a relaxed Pr6Ir2I3Cl crystal, from the Alexandria database.

Values from the calculation:
For the mass density, the calculation gives 6.93 g/cm3. The total magnetization is 0.0 μB per cell. Its raw formation energy is -1.046 eV/atom. The value obtained for the density of states at the Fermi level is 9.51 states/eV/f.u.

Cell lengths 7.5314, 13.0218, 8.4203 Å; angles 90.00, 107.26, 90.00 degrees
With the nearest neighbours (Å) after each atom.
Space group C2/m (No. 12)
Symmetry-distinct sites (fractional):
Pr: 0.1994 0.0000 0.1886 (multiplicity 4)  2 Ir 2.84, 1 Cl 3.13
Pr: 0.2460 0.3179 0.1903 (multiplicity 8)  2 Ir 2.84-2.85, 1 Cl 3.14
Ir: 0.0000 0.1670 0.0000 (multiplicity 4)  6 Pr 2.84-2.85
I: 0.0000 0.0000 0.5000 (multiplicity 2)  6 Pr 3.39-3.62
I: 0.0000 0.3383 0.5000 (multiplicity 4)  6 Pr 3.41-3.63
Cl: 0.0000 0.5000 0.0000 (multiplicity 2)  6 Pr 3.13-3.14



4.
The following is a PBE calculation of a relaxed CaAgIrRu2 crystal, from the Alexandria database.

Values from the calculation:
For the mass density, the calculation gives 7.73 g/cm3. The total magnetization is 4.7 μB per cell. The value obtained for the density of states at the Fermi level is 8.93 states/eV/f.u. The formation energy is 1.94 eV/atom.

Cell lengths 4.8237, 4.8237, 5.0082 Å; angles 90.00, 90.00, 90.00 degrees
With the nearest neighbours (Å) after each atom.
Space group P4/mmm (No. 123)
Symmetry-distinct sites (fractional):
Ca: 0.0000 0.0000 0.0000 (multiplicity 1)  2 Ag 2.50
Ag: 0.0000 0.0000 0.5000 (multiplicity 1)  4 Ru 2.41, 2 Ca 2.50
Ir: 0.5000 0.5000 0.0000 (multiplicity 1)  4 Ca 3.41, 8 Ru 3.48
Ru: 0.0000 0.5000 0.5000 (multiplicity 2)  2 Ag 2.41



5.
The following is a PBE calculation of a relaxed Dy3Y4Tm crystal, from the Alexandria database.

Values from the calculation:
For the mass density, the calculation gives 6.55 g/cm3. The total magnetization is 0.0 μB per cell. For the distance to the lowest polymorph of the same formula, the calculation gives 0.00 kcal/mol of atoms. The value obtained for the density of states at the Fermi level is 14.08 states/eV/f.u. The formation energy is 0.00 eV/atom.

Cell lengths 11.2373, 7.2721, 6.2832 Å; angles 90.00, 90.00, 90.00 degrees
With the nearest neighbours (Å) after each atom.
Space group Pmn2_1 (No. 31)
Symmetry-distinct sites (fractional):
Dy: 0.0000 0.1235 0.0000 (multiplicity 2)  4 Dy 3.49-3.50, 6 Y 3.51-3.66, 2 Tm 3.62
Dy: 0.2499 0.1232 0.3303 (multiplicity 4)  4 Dy 3.49-3.62, 2 Tm 3.49-3.50, 6 Y 3.51-3.66
Y: 0.0000 0.3736 0.4977 (multiplicity 2)  6 Y 3.51-3.65, 4 Dy 3.51-3.64, 2 Tm 3.62-3.66
Y: 0.0000 0.6266 0.9969 (multiplicity 2)  4 Dy 3.51-3.66, 6 Y 3.51-3.65, 2 Tm 3.61-3.65
Y: 0.2494 0.6266 0.3340 (multiplicity 4)  1 Tm 3.50, 6 Y 3.51-3.64, 5 Dy 3.51-3.66
Tm: 0.0000 0.8764 0.5000 (multiplicity 2)  6 Dy 3.49-3.62, 6 Y 3.50-3.66



6.
The following is a PBE calculation of a relaxed Al2CdPt2 crystal, from the Alexandria database.

Values from the calculation:
For the mass density, the calculation gives 10.41 g/cm3. The total magnetization is 0.0 μB per cell. The value obtained for the density of states at the Fermi level is 3.03 states/eV/f.u. The formation energy is -0.72 eV/atom.

Cell lengths 3.8874, 3.8874, 11.7495 Å; angles 90.00, 90.00, 90.00 degrees
With the nearest neighbours (Å) after each atom.
Space group I4/mmm (No. 139)
Symmetry-distinct sites (fractional):
Al: 0.0000 0.5000 0.2500 (multiplicity 4)  4 Pt 2.50, 4 Al 2.75
Cd: 0.0000 0.0000 0.0000 (multiplicity 2)  8 Pt 3.07
Pt: 0.0000 0.0000 0.3841 (multiplicity 4)  4 Al 2.50, 1 Pt 2.72



7.
The following is a PBE calculation of a relaxed NaGdDyIn crystal, from the Alexandria database.

Values from the calculation:
For the mass density, the calculation gives 6.77 g/cm3. The total magnetization is 31.0 μB per cell. The value obtained for the density of states at the Fermi level is 3.73 states/eV/f.u. The formation energy is -0.14 eV/atom.

Cell lengths 7.6558, 7.6558, 7.6558 Å; angles 90.00, 90.00, 90.00 degrees
With the nearest neighbours (Å) after each atom.
Space group F-43m (No. 216)
Symmetry-distinct sites (fractional):
Na: 0.0000 0.0000 0.0000 (multiplicity 4)  4 Gd 3.32, 4 Dy 3.32
Gd: 0.2500 0.2500 0.2500 (multiplicity 4)  4 In 3.32, 4 Na 3.32
Dy: 0.2500 0.2500 0.7500 (multiplicity 4)  4 In 3.32, 4 Na 3.32
In: 0.0000 0.0000 0.5000 (multiplicity 4)  4 Gd 3.32, 4 Dy 3.32



8.
The following is a PBE calculation of a relaxed Co2ReMo crystal, from the Alexandria database.

Values from the calculation:
For the mass density, the calculation gives 12.95 g/cm3. The total magnetization is 0.0 μB per cell. For the distance to the lowest polymorph of the same formula, the calculation gives 1.51 kcal/mol of atoms. The value obtained for the density of states at the Fermi level is 2.92 states/eV/f.u. The formation energy is 0.02 eV/atom.

Cell lengths 5.2605, 7.4347, 2.6232 Å; angles 90.00, 90.00, 90.00 degrees
With the nearest neighbours (Å) after each atom.
Space group Cmmm (No. 65)
Symmetry-distinct sites (fractional):
Co: 0.2500 0.2500 0.0000 (multiplicity 4)  4 Co 2.62-2.63, 4 Re 2.63, 4 Mo 2.63
Re: 0.0000 0.0000 0.5000 (multiplicity 2)  2 Re 2.62, 8 Co 2.63, 2 Mo 2.63
Mo: 0.0000 0.5000 0.5000 (multiplicity 2)  2 Mo 2.62, 8 Co 2.63, 2 Re 2.63